AlTc2As: optimized geometry, PBE-GGA.

Computed properties:
* size of the total moment: 0.00 μB per atom
* E_form: -0.8 eV/f.u.
* DFT total energy: -29.9 eV/f.u.
* energy above the most stable polymorph in this dataset: 22.0 meV/atom

POSCAR file:
```
AlTc2As
1.0
4.740 0.001 0.000
3.750 2.900 0.000
1.299 0.444 4.242
As Tc Al
1 2 1
Cartesian
2.441 0.834 0.931
0.062 0.021 0.196
7.262 2.481 2.942
4.916 1.680 2.294
```


AlTc2As: optimized geometry, PBE-GGA.

Computed properties:
* size of the total moment: 0.00 μB per atom
* E_form: -0.1 eV/f.u.
* DFT total energy: -29.2 eV/f.u.
* energy above the most stable polymorph in this dataset: 180.2 meV/atom

POSCAR file:
```
AlTc2As
1.0
4.415 0.005 0.013
3.449 2.756 0.013
0.836 0.294 4.899
As Tc Al
1 2 1
Cartesian
2.175 0.764 1.231
0.021 0.007 0.043
4.329 1.520 2.419
6.525 2.291 3.693
```


AlTcAs4: optimized geometry, PBE-GGA.

Computed properties:
* size of the total moment: 0.32 μB per atom
* E_form: 4.6 eV/f.u.
* DFT total energy: -28.1 eV/f.u.

POSCAR file:
```
AlTcAs4
1.0
0.000 3.845 3.845
3.845 0.000 3.845
3.845 3.845 0.000
Al Tc As
1 1 4
Cartesian
0.000 0.000 0.000
5.768 5.768 5.768
2.881 4.810 4.810
4.810 4.810 2.881
4.810 2.881 4.810
2.881 2.881 2.881
```


AlTcAs2: optimized geometry, PBE-GGA.

Computed properties:
* size of the total moment: 0.00 μB per atom
* E_form: 1.0 eV/f.u.
* DFT total energy: -22.4 eV/f.u.

POSCAR file:
```
AlTcAs2
1.0
3.299 0.000 0.000
0.000 4.564 0.000
0.000 0.000 4.299
As Tc Al
2 1 1
Cartesian
0.000 0.000 0.000
1.649 2.282 0.000
1.649 0.000 2.149
0.000 2.282 2.149
```


AlTl2TcAs: optimized geometry, PBE-GGA.

Computed properties:
* size of the total moment: 0.41 μB per atom
* E_form: 5.1 eV/f.u.
* DFT total energy: -18.4 eV/f.u.

POSCAR file:
```
AlTl2TcAs
1.0
5.241 0.000 0.000
0.000 4.782 0.000
0.000 0.000 5.241
As Tl Tc Al
1 2 1 1
Cartesian
2.620 2.391 2.620
0.000 0.000 2.620
2.620 0.000 0.000
0.000 2.391 0.000
0.000 0.000 0.000
```


AlTeAs2: optimized geometry, PBE-GGA.

Computed properties:
* size of the total moment: 0.00 μB per atom
* raw formation energy: 0.16 eV/atom
* DFT total energy: -15.6 eV/f.u.
* energy above the most stable polymorph in this dataset: 220.5 meV/atom

POSCAR file:
```
AlTeAs2
1.0
-4.787 8.520 -5.576
-5.339 6.283 -7.656
-7.304 6.725 -5.294
As Te Al
2 1 1
Cartesian
-0.402 0.496 -0.427
-8.313 10.268 -8.836
-4.357 5.382 -4.631
-13.072 16.146 -13.894
```


AlTeAs2: optimized geometry, PBE-GGA.

Computed properties:
* size of the total moment: 0.00 μB per atom
* raw formation energy: 0.19 eV/atom
* DFT total energy: -15.4 eV/f.u.
* energy above the most stable polymorph in this dataset: 249.8 meV/atom

POSCAR file:
```
AlTeAs2
1.0
-0.454 -5.822 1.204
1.823 -5.419 -1.691
3.812 -1.209 2.828
As Te Al
2 1 1
Cartesian
1.891 -10.630 0.008
2.068 -6.836 0.675
3.886 -9.338 1.756
1.295 -3.113 0.585
```


Al2TeAs2: optimized geometry, PBE-GGA.

Computed properties:
* size of the total moment: 0.00 μB per atom
* raw formation energy: 0.06 eV/atom
* DFT total energy: -19.6 eV/f.u.

POSCAR file:
```
Al2TeAs2
1.0
3.936 0.000 0.000
0.000 3.936 0.000
1.968 1.968 6.804
As Te Al
2 1 2
Cartesian
3.936 1.968 3.402
1.968 3.936 3.402
0.000 0.000 0.000
1.968 1.968 1.442
3.936 3.936 5.362
```


Al4TeAs: optimized geometry, PBE-GGA.

Computed properties:
* size of the total moment: 0.00 μB per atom
* raw formation energy: 0.28 eV/atom
* DFT total energy: -21.1 eV/f.u.

POSCAR file:
```
Al4TeAs
1.0
0.000 3.896 3.896
3.896 0.000 3.896
3.896 3.896 0.000
Al Te As
4 1 1
Cartesian
2.926 4.867 4.867
4.867 4.867 2.926
4.867 2.926 4.867
2.926 2.926 2.926
0.000 0.000 0.000
5.844 5.844 5.844
```


AlTeAs2: optimized geometry, PBE-GGA.

Computed properties:
* size of the total moment: 0.00 μB per atom
* raw formation energy: 0.32 eV/atom
* DFT total energy: -14.9 eV/f.u.
* energy above the most stable polymorph in this dataset: 385.1 meV/atom

POSCAR file:
```
AlTeAs2
1.0
6.497 0.160 0.000
4.011 5.114 0.000
-5.254 -2.637 2.771
As Te Al
2 1 1
Cartesian
0.000 0.000 0.000
5.254 2.637 0.000
2.005 2.557 1.386
3.249 0.080 1.386
```


AlTe2As: optimized geometry, PBE-GGA.

Computed properties:
* size of the total moment: 0.00 μB per atom
* raw formation energy: 0.08 eV/atom
* DFT total energy: -14.3 eV/f.u.
* energy above the most stable polymorph in this dataset: 140.3 meV/atom

POSCAR file:
```
AlTe2As
1.0
-0.454 0.540 8.823
-4.160 -0.153 -5.130
-0.952 -2.704 -0.854
As Te Al
1 2 1
Cartesian
-2.307 0.194 1.847
0.000 0.000 0.000
-0.703 -1.082 3.985
-2.556 -1.429 -2.992
```


AlTe2As: optimized geometry, PBE-GGA.

Computed properties:
* size of the total moment: 0.00 μB per atom
* raw formation energy: 0.02 eV/atom
* DFT total energy: -14.6 eV/f.u.
* energy above the most stable polymorph in this dataset: 81.0 meV/atom

POSCAR file:
```
AlTe2As
1.0
-4.283 -5.736 1.403
-2.004 -6.788 -1.765
2.244 -2.663 2.500
As Te Al
1 2 1
Cartesian
-1.011 -3.797 0.534
1.380 -3.659 2.209
-1.158 -6.597 1.359
-3.032 -11.390 1.603
```


AlTe2As: optimized geometry, PBE-GGA.

Computed properties:
* size of the total moment: 0.00 μB per atom
* raw formation energy: 0.32 eV/atom
* DFT total energy: -13.4 eV/f.u.
* energy above the most stable polymorph in this dataset: 375.0 meV/atom

POSCAR file:
```
AlTe2As
1.0
0.000 3.615 3.615
3.615 0.000 3.615
3.615 3.615 0.000
As Te Al
1 2 1
Cartesian
3.615 3.615 3.615
1.807 1.807 1.807
5.422 5.422 5.422
0.000 0.000 0.000
```


Al2Te2As: optimized geometry, PBE-GGA.

Computed properties:
* size of the total moment: 0.00 μB per atom
* raw formation energy: 0.56 eV/atom
* DFT total energy: -15.6 eV/f.u.

POSCAR file:
```
Al2Te2As
1.0
5.354 0.000 0.000
0.000 5.354 0.000
0.000 0.000 4.865
As Te Al
1 2 2
Cartesian
2.677 2.677 2.433
0.000 2.677 0.000
2.677 0.000 0.000
0.000 0.000 0.000
0.000 0.000 2.433
```


AlTeAs2: optimized geometry, PBE-GGA.

Computed properties:
* size of the total moment: 0.00 μB per atom
* raw formation energy: 0.36 eV/atom
* DFT total energy: -14.7 eV/f.u.
* energy above the most stable polymorph in this dataset: 422.1 meV/atom

POSCAR file:
```
AlTeAs2
1.0
6.524 0.206 0.000
3.988 5.168 0.000
-5.256 -2.687 2.786
As Te Al
2 1 1
Cartesian
0.000 0.000 0.000
1.994 2.584 1.393
5.256 2.687 0.000
3.262 0.103 1.393
```